# 1
A plane-wave DFT calculation with meta-GGA SCAN was carried out for LaNClF2 at its PBEsol-relaxed geometry.

a b c (Å): 4.490 4.490 5.233
angles (deg): 90.00 90.00 90.00
Space group P4/mmm (No. 123)
Inequivalent atoms, fractional coordinates:
La 0.000 0.000 0.000 [1 per cell]
N 0.000 0.000 0.500 [1 per cell]
Cl 0.500 0.500 0.500 [1 per cell]
F 0.000 0.500 0.000 [2 per cell]

## Properties
Energy in eV/atom: -15.291
E_form (uncorrected) in meV/atom: -1800


# 2
A plane-wave DFT calculation with meta-GGA SCAN was carried out for LaPtClF2 at its PBEsol-relaxed geometry.

a b c (Å): 4.415 4.415 5.815
angles (deg): 90.00 90.00 90.00
Space group P4/mmm (No. 123)
Inequivalent atoms, fractional coordinates:
La 0.000 0.000 0.000 [1 per cell]
Pt 0.500 0.500 0.500 [1 per cell]
Cl 0.000 0.000 0.500 [1 per cell]
F 0.000 0.500 0.000 [2 per cell]

## Properties
Energy in eV/atom: -27.674
E_form (uncorrected) in meV/atom: -2003


# 3
A plane-wave DFT calculation with meta-GGA SCAN was carried out for LiClF2 at its PBEsol-relaxed geometry.

a b c (Å): 3.3115 3.3115 16.8178
angles (deg): 90.00 90.00 120.00
Space group R-3m (No. 166, hexagonal axes)
Inequivalent atoms, fractional coordinates:
Li 0.0000 0.0000 0.0000 [3 per cell]
Cl 0.0000 0.0000 0.5000 [3 per cell]
F 0.0000 0.0000 0.3879 [6 per cell]

## Properties
Energy in eV/atom: -6.064
E_form (uncorrected) in meV/atom: -1702


# 4
A plane-wave DFT calculation with meta-GGA SCAN was carried out for MgCl2F at its PBEsol-relaxed geometry.

a b c (Å): 9.098 9.098 3.769
angles (deg): 90.00 90.00 90.00
Space group I-42d (No. 122)
Inequivalent atoms, fractional coordinates:
Mg 0.000 0.000 0.000 [4 per cell]
Cl 0.122 0.250 0.125 [8 per cell]
F 0.000 0.000 0.500 [4 per cell]

## Properties
Energy in eV/atom: -7.913
E_form (uncorrected) in meV/atom: -1796